Record 1
Entry from the Alexandria database: an optimized crystal structure of NaNi2O4 (GGA+U).

Summary:
Offset from the most stable computed form = 89.4 meV per atom

a b c (Å): 6.0606 6.0606 8.3251
angles (deg): 90.00 90.00 90.00
Space group I4_1/amd (No. 141, origin choice 2)
Unique sites:
Na  0.0000  0.2500  0.3750 x4
Ni  0.0000  0.0000  0.0000 x8
O  0.0000  0.0400  0.7720 x16

Record 2
Entry from the Alexandria database: an optimized crystal structure of Na5Ni8O16 (GGA+U).

Summary:
E = -4.617 eV/atom

a b c (Å): 5.8626 6.8971 8.2517
angles (deg): 80.78 77.72 79.09
Space group P-1 (No. 2)
Unique sites:
Na  0.0000  0.0000  0.0000 x1
Na  0.0000  0.5000  0.5000 x1
Na  0.2931  0.2713  0.7258 x2
Na  0.5000  0.0000  0.0000 x1
Ni  0.1226  0.3748  0.1230 x2
Ni  0.1243  0.8775  0.6265 x2
Ni  0.3736  0.1222  0.3713 x2
Ni  0.3761  0.6271  0.8768 x2
O  0.0703  0.6485  0.0313 x2
O  0.0966  0.1490  0.5373 x2
O  0.1543  0.6056  0.7133 x2
O  0.1611  0.1034  0.2060 x2
O  0.3180  0.3954  0.2735 x2
O  0.3421  0.9027  0.7963 x2
O  0.4020  0.3540  0.9594 x2
O  0.4125  0.8538  0.4708 x2

Record 3
Entry from the Alexandria database: an optimized crystal structure of Na3NiO2 (GGA+U).

Summary:
E = -3.808 eV/atom

a b c (Å): 9.4853 9.4853 4.6132
angles (deg): 90.00 90.00 90.00
Space group P4_2/mnm (No. 136)
Unique sites:
Na  0.0214  0.3452  0.0000 x8
Na  0.1427  0.8573  0.5000 x4
Ni  0.1714  0.1714  0.5000 x4
O  0.0352  0.3028  0.5000 x8

Record 4
Entry from the Alexandria database: an optimized crystal structure of NaNi2O4 (GGA+U).

Summary:
Offset from the most stable computed form = 0.0 meV per atom

a b c (Å): 5.7404 4.8832 12.5323
angles (deg): 90.00 115.97 90.00
Space group Pc (No. 7)
Unique sites:
Na  0.0000  0.0177  0.0000 x2
Na  0.4967  0.3597  0.5018 x2
Ni  0.0005  0.4943  0.7533 x2
Ni  0.2499  0.0034  0.2532 x2
Ni  0.4928  0.4950  0.7503 x2
Ni  0.7411  0.0084  0.2489 x2
O  0.1103  0.1760  0.3455 x2
O  0.1804  0.3183  0.1617 x2
O  0.3300  0.3330  0.8373 x2
O  0.3852  0.1775  0.6581 x2
O  0.5779  0.1726  0.3389 x2
O  0.6675  0.3486  0.1671 x2
O  0.8058  0.3132  0.8390 x2
O  0.9161  0.1527  0.6646 x2

Record 5
Entry from the Alexandria database: an optimized crystal structure of Na2Ni2O3 (GGA+U).

Summary:
Offset from the most stable computed form = 16.1 meV per atom

a b c (Å): 11.3003 3.2092 5.5423
angles (deg): 90.00 112.32 90.00
Space group C2/m (No. 12)
Unique sites:
Na  0.1324  0.0000  0.3106 x4
Ni  0.1417  0.5000  0.8873 x4
O  0.0000  0.5000  0.0000 x2
O  0.2084  0.0000  0.7558 x4

Record 6
Entry from the Alexandria database: an optimized crystal structure of Na2NiO2 (GGA+U).

Summary:
Offset from the most stable computed form = 15.0 meV per atom

a b c (Å): 2.8703 4.5493 9.6944
angles (deg): 90.00 90.00 90.00
Space group Immm (No. 71)
Unique sites:
Na  0.0000  0.0000  0.1811 x4
Ni  0.0000  0.0000  0.5000 x2
O  0.0000  0.5000  0.1303 x4

Record 7
Entry from the Alexandria database: an optimized crystal structure of Na3NiO2 (GGA+U).

Summary:
E = -3.794 eV/atom

a b c (Å): 5.8313 8.7386 7.8799
angles (deg): 90.00 111.74 90.00
Space group P2_1/c (No. 14)
Unique sites:
Na  0.2427  0.2149  0.3125 x4
Na  0.2460  0.5326  0.5005 x4
Na  0.2540  0.5370  0.1241 x4
Ni  0.2966  0.6752  0.8286 x4
O  0.0546  0.5357  0.7783 x4
O  0.4719  0.1793  0.1161 x4

Record 8
Entry from the Alexandria database: an optimized crystal structure of Na3NiO2 (GGA+U).

Summary:
E = -3.772 eV/atom

a b c (Å): 5.3399 10.5578 5.9937
angles (deg): 90.00 90.00 90.00
Space group Ibam (No. 72)
Unique sites:
Na  0.0000  0.0000  0.2500 x4
Na  0.0000  0.2622  0.2500 x8
Ni  0.0000  0.5000  0.0000 x4
O  0.2499  0.1250  0.0000 x8

Record 9
Entry from the Alexandria database: an optimized crystal structure of Na3Ni5O10 (GGA+U).

Summary:
E = -4.618 eV/atom

a b c (Å): 4.9004 6.3852 7.1664
angles (deg): 110.00 98.07 105.56
Space group P-1 (No. 2)
Unique sites:
Na  0.0000  0.0000  0.0000 x1
Na  0.1961  0.3980  0.3942 x2
Ni  0.0000  0.5000  0.0000 x1
Ni  0.2000  0.8992  0.4046 x2
Ni  0.4041  0.3001  0.7967 x2
O  0.0952  0.4002  0.7065 x2
O  0.1061  0.9918  0.6679 x2
O  0.2815  0.8140  0.1452 x2
O  0.3024  0.3953  0.0834 x2
O  0.4979  0.1999  0.5096 x2

Record 10
Entry from the Alexandria database: an optimized crystal structure of Na2NiO2 (GGA+U).

Summary:
Offset from the most stable computed form = 0.0 meV per atom

a b c (Å): 2.8673 10.2539 8.2751
angles (deg): 90.00 90.00 90.00
Space group Cmc2_1 (No. 36)
Unique sites:
Na  0.0000  0.1060  0.0000 x4
Na  0.0000  0.3527  0.1784 x4
Ni  0.0000  0.3779  0.8458 x4
O  0.0000  0.0199  0.2581 x4
O  0.0000  0.2223  0.4409 x4

Record 11
Entry from the Alexandria database: an optimized crystal structure of NaNi2O3 (GGA+U).

Summary:
E = -4.627 eV/atom

a b c (Å): 5.3105 8.9706 5.3324
angles (deg): 90.00 110.80 90.00
Space group C2/m (No. 12)
Unique sites:
Na  0.0000  0.1698  0.0000 x4
Ni  0.0000  0.0000  0.5000 x2
Ni  0.0000  0.3349  0.5000 x4
Ni  0.0000  0.5000  0.0000 x2
O  0.2108  0.5000  0.7396 x4
O  0.2355  0.1506  0.7106 x8

Record 12
Entry from the Alexandria database: an optimized crystal structure of Na2NiO2 (GGA+U).

Summary:
Offset from the most stable computed form = 9.9 meV per atom

a b c (Å): 4.3464 4.3464 10.3639
angles (deg): 90.00 90.00 90.00
Space group I4/mmm (No. 139)
Unique sites:
Na  0.0000  0.5000  0.2500 x4
Ni  0.0000  0.0000  0.0000 x2
O  0.0000  0.0000  0.1666 x4